Here is an optimized crystal structure of TiVO2 from the Alexandria database. Energies are from PBE with a Hubbard U.

```
data_TiVO2
_symmetry_space_group_name_H-M 'P 1'
_symmetry_Int_Tables_number 1
_cell_length_a 3.738
_cell_length_b 3.738
_cell_length_c 3.738
_cell_angle_alpha 60.00
_cell_angle_beta 60.00
_cell_angle_gamma 60.00
loop_
_symmetry_equiv_pos_as_xyz
'x,y,z'
loop_
_atom_site_label
_atom_site_type_symbol
_atom_site_fract_x
_atom_site_fract_y
_atom_site_fract_z
O1 O 0.250 0.250 0.250
O2 O 0.750 0.750 0.750
V1 V 0.500 0.500 0.500
Ti1 Ti 0.000 0.000 0.000
```

Computed properties:
crystal system: cubic
energy above the most stable polymorph in this dataset: 530 meV per atom
electronic total energy: -7.6302 eV/atom
magnetic moment: 0.0 μB/cell
ρ: 5883 kg/m3
space-group type: Fm-3m (225)
density of states at the Fermi level: 0.68 states/eV/atom